[1]
A PBEsol-optimized structure of BaSn3Rh. Source: Alexandria, functional SCAN.

As for the energy relative to the elements: -1.50 eV per formula unit.

abc: 5.1883 5.1883 5.1883
angles: 90.00 90.00 90.00
Space group Pm-3m (No. 221)
Symmetry-distinct sites (fractional):
Ba 0.0000 0.0000 0.0000
Sn 0.0000 0.5000 0.5000
Rh 0.5000 0.5000 0.5000


[2]
A PBEsol-optimized structure of CuSi2N. Source: Alexandria, functional SCAN.

The value obtained for the formation energy without anion corrections is 0.0833 eV per atom.

abc: 4.9416 4.9416 8.6225
angles: 90.00 90.00 90.00
Space group I-42d (No. 122)
Symmetry-distinct sites (fractional):
Cu 0.0000 0.0000 0.0000
Si 0.1900 0.7500 0.6250
N 0.0000 0.0000 0.5000


[3]
A PBEsol-optimized structure of YBiH2. Source: Alexandria, functional SCAN.

abc: 6.2486 6.2486 6.2486
angles: 90.00 90.00 90.00
Space group Fm-3m (No. 225)
Symmetry-distinct sites (fractional):
Y 0.0000 0.0000 0.0000
Bi 0.0000 0.0000 0.5000
H 0.2500 0.2500 0.2500


[4]
A PBEsol-optimized structure of YMg2Sc. Source: Alexandria, functional SCAN.

As for the energy relative to the elements: -0.21 eV per formula unit. The value obtained for the energy above the most stable polymorph in this dataset is 0.032 eV/atom.

abc: 3.3052 3.3052 9.1170
angles: 90.00 90.00 90.00
Space group P4mm (No. 99)
Symmetry-distinct sites (fractional):
Y 0.0000 0.0000 0.0000
Mg 0.0000 0.0000 0.5034
Mg 0.5000 0.5000 0.7333
Sc 0.5000 0.5000 0.2641


[5]
A PBEsol-optimized structure of Li2TlTe. Source: Alexandria, functional SCAN.

The value obtained for the formation energy without anion corrections is -0.5851 eV per atom. The value obtained for the energy above the most stable polymorph in this dataset is 0.000 eV/atom.

abc: 4.4104 4.4104 16.5361
angles: 90.00 90.00 120.00
Space group R-3m (No. 166, hexagonal axes)
Symmetry-distinct sites (fractional):
Li 0.0000 0.0000 0.2282
Tl 0.0000 0.0000 0.0000
Te 0.0000 0.0000 0.5000


[6]
A PBEsol-optimized structure of Tc3BI. Source: Alexandria, functional SCAN.

The value obtained for the formation energy without anion corrections is 0.8070 eV per atom.

abc: 4.1688 4.1688 4.1688
angles: 90.00 90.00 90.00
Space group Pm-3m (No. 221)
Symmetry-distinct sites (fractional):
Tc 0.0000 0.0000 0.5000
B 0.0000 0.0000 0.0000
I 0.5000 0.5000 0.5000


The calculation returns the following E values, one per record and in order: -182.59 -176.76 -453.44 -52.23 -350.19 -145.32 eV/cell.